No. 1
# PBE-GGA Ca2Sn6Rh, optimized geometry
data_Ca2Sn6Rh
_chemical_formula_sum 'Ca2 Sn6 Rh1'
_space_group_name_H-M_alt 'P 1'
_space_group_IT_number 1
_space_group_name_Hall 'P 1'
_cell_length_a 4.460
_cell_length_b 4.557
_cell_length_c 12.179
_cell_angle_alpha 90.00
_cell_angle_beta 100.55
_cell_angle_gamma 90.00
loop_
_atom_site_label
_atom_site_type_symbol
_atom_site_fract_x
_atom_site_fract_y
_atom_site_fract_z
Sn1 Sn 0.884 0.500 0.768
Sn2 Sn 0.597 0.000 0.193
Sn3 Sn 0.462 0.500 0.924
Sn4 Sn 0.216 0.500 0.432
Sn5 Sn 0.093 0.500 0.187
Sn6 Sn 0.719 0.000 0.437
Ca1 Ca 0.991 0.000 0.982
Ca2 Ca 0.332 0.000 0.665
Rh1 Rh 0.776 0.500 0.551
# Total magnetization (μB/cell): 0.0
# Theoretical density (g/cm3): 6.11
# DFT total energy (eV/atom): -4.33
# D(E_F) (states/eV/f.u.): 5.04
# Energy of formation (eV per formula unit): -3.60

---

No. 2
# PBE-GGA ReSbAs2, optimized geometry
data_ReSbAs2
_chemical_formula_sum 'Re2 Sb2 As4'
_space_group_name_H-M_alt 'P 1'
_space_group_IT_number 1
_space_group_name_Hall 'P 1'
_cell_length_a 3.114
_cell_length_b 6.196
_cell_length_c 9.172
_cell_angle_alpha 83.94
_cell_angle_beta 80.25
_cell_angle_gamma 89.99
loop_
_atom_site_label
_atom_site_type_symbol
_atom_site_fract_x
_atom_site_fract_y
_atom_site_fract_z
Sb1 Sb 0.997 0.806 0.111
Sb2 Sb 0.058 0.380 0.992
Re1 Re 0.782 0.280 0.544
Re2 Re 0.274 0.906 0.559
As1 As 0.848 0.675 0.412
As2 As 0.384 0.196 0.338
As3 As 0.208 0.511 0.692
As4 As 0.671 0.990 0.765
# Total magnetization (μB/cell): 0.0
# Theoretical density (g/cm3): 8.77
# DFT total energy (eV/atom): -6.51
# ΔE_f (raw) (kJ/mol of formula units): -16
# D(E_F) (states/eV/f.u.): 1.14